No. 1
VASP calculation (meta-GGA SCAN) on a crystal of LaSbTe2 relaxed with PBEsol.

Computed properties:
Formation energy (no corrections) = -1.00 eV per atom
Volume = 30.4 Å³ per atom
Total magnetization = 0.00 μB per atom

Lattice parameters (Å, degrees): 4.3372 4.5820 6.4855 89.99 109.17 90.00
Closest atoms and distances in Å follow each position.
Element x y z (fractional)
La 0.5453 0.6250 0.0814  7 Te 3.23-3.59, 2 Sb 3.27
Sb 0.7218 0.1249 0.4616  5 Te 3.06-3.18, 2 La 3.27
Te 0.9892 0.1250 0.9614  1 Sb 3.06, 4 La 3.23-3.25
Te 0.2437 0.6250 0.4956  4 Sb 3.15-3.18, 2 La 3.32-3.35

No. 2
VASP calculation (meta-GGA SCAN) on a crystal of LaSbTe2 relaxed with PBEsol.

Computed properties:
Formation energy (no corrections) = -0.71 eV per atom
Volume = 35.5 Å³ per atom
Total magnetization = 0.00 μB per atom

Lattice parameters (Å, degrees): 4.8459 4.8459 7.5205 71.21 71.21 60.00
Closest atoms and distances in Å follow each position.
Element x y z (fractional)
La 0.5029 0.5029 0.4912  3 Te 3.17, 3 Sb 3.45
Sb 0.2659 0.2659 0.2024  3 Te 2.88
Te 0.9661 0.9661 0.1018  3 Sb 2.88
Te 0.7652 0.7652 0.7045  3 La 3.17

No. 3
VASP calculation (meta-GGA SCAN) on a crystal of LaSbTe2 relaxed with PBEsol.

Computed properties:
Formation energy (no corrections) = -0.73 eV per atom
Volume = 28.0 Å³ per atom
Total magnetization = 0.00 μB per atom

Lattice parameters (Å, degrees): 4.6356 4.6356 6.1562 112.12 112.12 90.00
Closest atoms and distances in Å follow each position.
Element x y z (fractional)
La 0.5000 0.5000 0.0000  4 Sb 3.28, 8 Te 3.49
Sb 0.0000 0.0000 0.0000  4 La 3.28, 8 Te 3.49
Te 0.7500 0.2500 0.5000  4 Te 3.28, 4 La 3.49, 4 Sb 3.49
Te 0.2500 0.7500 0.5000  4 Te 3.28, 4 La 3.49, 4 Sb 3.49

No. 4
VASP calculation (meta-GGA SCAN) on a crystal of La4SbTe7 relaxed with PBEsol.

Computed properties:
Formation energy (no corrections) = -1.54 eV per atom
Volume = 30.4 Å³ per atom
Total magnetization = 0.00 μB per atom

Lattice parameters (Å, degrees): 4.4529 4.4529 18.4267 90.00 90.00 90.00
Closest atoms and distances in Å follow each position.
Element x y z (fractional)
La 0.5000 0.0000 0.1381  7 Te 3.26-3.38, 2 Sb 3.38
La 0.5000 0.0000 0.6367  9 Te 3.26-3.36
La 0.0000 0.5000 0.3633  9 Te 3.26-3.36
La 0.0000 0.5000 0.8619  7 Te 3.26-3.38, 2 Sb 3.38
Sb 0.5000 0.5000 0.0000  4 Te 3.15, 4 La 3.38
Te 0.5000 0.0000 0.3178  5 La 3.26-3.31
Te 0.5000 0.0000 0.8151  5 La 3.26-3.29
Te 0.0000 0.5000 0.1849  5 La 3.26-3.29
Te 0.0000 0.5000 0.6822  5 La 3.26-3.31
Te 0.5000 0.5000 0.5000  4 Te 3.15, 4 La 3.36
Te 0.0000 0.0000 0.5000  4 Te 3.15, 4 La 3.36
Te 0.0000 0.0000 0.0000  4 Sb 3.15, 4 La 3.38